# Tb5Te5H2 | Alexandria | PBE | relaxed
data_Tb5Te5H2
_chemical_formula_sum 'Tb10 Te10 H4'
_cell_length_a 13.830
_cell_length_b 4.050
_cell_length_c 10.803
_cell_angle_alpha 90.00
_cell_angle_beta 99.72
_cell_angle_gamma 90.00
_symmetry_space_group_name_H-M 'C 1 2/m 1'
_symmetry_Int_Tables_number 12
loop_
_symmetry_equiv_pos_as_xyz
'x,y,z'
'-x,-y,-z'
'-x,y,-z'
'x,-y,z'
'x+1/2,y+1/2,z'
'-x+1/2,-y+1/2,-z'
'-x+1/2,y+1/2,-z'
'x+1/2,-y+1/2,z'
loop_
_atom_site_label
_atom_site_type_symbol
_atom_site_fract_x
_atom_site_fract_y
_atom_site_fract_z
Tb1 Tb 0.000 0.000 0.000
Tb2 Tb 0.104 0.000 0.337
Tb3 Tb 0.154 0.500 0.797
Te1 Te 0.000 0.500 0.500
Te2 Te 0.163 0.500 0.091
Te3 Te 0.220 0.000 0.614
H1 H 0.051 0.000 0.808
# Uncorrected energy: -4.8253 eV per atom

# CrAgTe2 | Alexandria | PBE | relaxed
data_CrAgTe2
_chemical_formula_sum 'Cr4 Ag4 Te8'
_cell_length_a 7.237
_cell_length_b 7.237
_cell_length_c 7.237
_cell_angle_alpha 90.00
_cell_angle_beta 90.00
_cell_angle_gamma 90.00
_symmetry_space_group_name_H-M 'F -4 3 m'
_symmetry_Int_Tables_number 216
_symmetry_space_group_name_Hall 'F -4 2 3'
loop_
_atom_site_label
_atom_site_type_symbol
_atom_site_fract_x
_atom_site_fract_y
_atom_site_fract_z
Cr1 Cr 0.000 0.000 0.000
Ag1 Ag 0.250 0.250 0.250
Te1 Te 0.000 0.000 0.500
Te2 Te 0.250 0.250 0.750
# Energy relative to the elements, uncorrected: 0.53 eV per atom
# Uncorrected energy: -4.1631 eV per atom

# La2Cu2O5 | Alexandria | PBE | relaxed
data_La2Cu2O5
_chemical_formula_sum 'La4 Cu4 O10'
_cell_length_a 5.464
_cell_length_b 10.546
_cell_length_c 3.942
_cell_angle_alpha 90.00
_cell_angle_beta 90.00
_cell_angle_gamma 90.00
_symmetry_space_group_name_H-M 'P b a m'
_symmetry_Int_Tables_number 55
loop_
_symmetry_equiv_pos_as_xyz
'x,y,z'
'-x,-y,-z'
'-x,-y,z'
'x,y,-z'
'x+1/2,-y+1/2,-z'
'-x+1/2,y+1/2,z'
'-x+1/2,y+1/2,-z'
'x+1/2,-y+1/2,z'
loop_
_atom_site_label
_atom_site_type_symbol
_atom_site_fract_x
_atom_site_fract_y
_atom_site_fract_z
La1 La 0.197 0.136 0.000
Cu1 Cu 0.205 0.394 0.500
O1 O 0.000 0.000 0.500
O2 O 0.083 0.710 0.500
O3 O 0.212 0.395 0.000
# Energy relative to the elements, uncorrected: -2.14 eV per atom
# Uncorrected energy: -6.8954 eV per atom
# Energy above the most stable polymorph in this dataset: 0.0251 eV/atom

Please write out number 1 again, unchanged.
# Tb5Te5H2 | Alexandria | PBE | relaxed
data_Tb5Te5H2
_chemical_formula_sum 'Tb10 Te10 H4'
_cell_length_a 13.830
_cell_length_b 4.050
_cell_length_c 10.803
_cell_angle_alpha 90.00
_cell_angle_beta 99.72
_cell_angle_gamma 90.00
_symmetry_space_group_name_H-M 'C 1 2/m 1'
_symmetry_Int_Tables_number 12
loop_
_symmetry_equiv_pos_as_xyz
'x,y,z'
'-x,-y,-z'
'-x,y,-z'
'x,-y,z'
'x+1/2,y+1/2,z'
'-x+1/2,-y+1/2,-z'
'-x+1/2,y+1/2,-z'
'x+1/2,-y+1/2,z'
loop_
_atom_site_label
_atom_site_type_symbol
_atom_site_fract_x
_atom_site_fract_y
_atom_site_fract_z
Tb1 Tb 0.000 0.000 0.000
Tb2 Tb 0.104 0.000 0.337
Tb3 Tb 0.154 0.500 0.797
Te1 Te 0.000 0.500 0.500
Te2 Te 0.163 0.500 0.091
Te3 Te 0.220 0.000 0.614
H1 H 0.051 0.000 0.808
# Uncorrected energy: -4.8253 eV per atom